# InCo2Cu2 (GGA-PBEsol, relaxed)
data_InCo2Cu2
_chemical_formula_sum 'In1 Co2 Cu2'
_space_group_name_H-M_alt 'P 1'
_space_group_IT_number 1
_cell_length_a 3.356
_cell_length_b 3.356
_cell_length_c 6.514
_cell_angle_alpha 104.93
_cell_angle_beta 104.93
_cell_angle_gamma 90.00
loop_
_space_group_symop_operation_xyz
'x,y,z'
loop_
_atom_site_label
_atom_site_fract_x
_atom_site_fract_y
_atom_site_fract_z
Co1 0.750 0.250 0.500
In1 0.000 0.000 0.000
Cu1 0.397 0.397 0.794
Co2 0.250 0.750 0.500
Cu2 0.603 0.603 0.206
# mass density	8.7	g/cm3
# ΔE_f	0.375	eV/atom
# total DFT energy (no corrections)	-5.050	eV/atom